Entry 1:
Entry from Alexandria via LeMat-Bulk: Li2IrRh after structural relaxation (PBEsol).

* ΔE_f: -0.075 eV/atom
* space group: Pmm2, No. 25

Unit cell a=2.639 b=4.070 c=5.085 alpha=90.00 beta=90.00 gamma=90.00
Fractional coordinates of all 4 atoms:
Li1 0.000 0.000 0.000
Li2 0.500 0.500 0.208
Ir1 0.500 0.500 0.693
Rh1 0.000 0.000 0.521

---

Entry 2:
Entry from Alexandria via LeMat-Bulk: KBeTc2B after structural relaxation (PBEsol).

* ΔE_f: 2.155 eV/atom
* space group: P4/mmm, No. 123

Unit cell a=4.137 b=4.137 c=4.702 alpha=90.00 beta=90.00 gamma=90.00
Fractional coordinates of all 5 atoms:
K1 0.000 0.000 0.000
Be1 0.000 0.000 0.500
Tc1 0.000 0.500 0.500
Tc2 0.500 0.000 0.500
B1 0.500 0.500 0.000

---

Entry 3:
Entry from Alexandria via LeMat-Bulk: Pb3CO after structural relaxation (PBEsol).

* E_form (uncorrected): 902.2 meV per atom
* space group: Pm-3m, No. 221

Unit cell a=4.828 b=4.828 c=4.828 alpha=90.00 beta=90.00 gamma=90.00
Fractional coordinates of all 5 atoms:
Pb1 0.000 0.000 0.500
Pb2 0.000 0.500 0.000
Pb3 0.500 0.000 0.000
C1 0.500 0.500 0.500
O1 0.000 0.000 0.000

---

Entry 4:
Entry from Alexandria via LeMat-Bulk: Fe3Co5 after structural relaxation (PBEsol).

* ΔE_f: 0.042 eV/atom
* space group: P4mm, No. 99

Unit cell a=2.769 b=2.769 c=11.266 alpha=90.00 beta=90.00 gamma=90.00
Fractional coordinates of all 8 atoms:
Fe1 0.000 0.000 0.000
Fe2 0.000 0.000 0.252
Fe3 0.500 0.500 0.382
Co1 0.000 0.000 0.504
Co2 0.000 0.000 0.751
Co3 0.500 0.500 0.127
Co4 0.500 0.500 0.631
Co5 0.500 0.500 0.879

---

Entry 5:
Entry from Alexandria via LeMat-Bulk: MgSc2As after structural relaxation (PBEsol).

* ΔE_f: -0.322 eV/atom
* space group: I-42d, No. 122

Unit cell a=6.210 b=6.210 c=6.210 alpha=103.97 beta=103.97 gamma=121.15
Fractional coordinates of all 8 atoms:
Mg1 0.000 0.000 0.000
Mg2 0.750 0.250 0.500
Sc1 0.164 0.125 0.539
Sc2 0.375 0.836 0.961
Sc3 0.586 0.625 0.461
Sc4 0.875 0.414 0.039
As1 0.250 0.750 0.500
As2 0.500 0.500 0.000

---

Entry 6:
Entry from Alexandria via LeMat-Bulk: Re2SiTc after structural relaxation (PBEsol).

* E_form (uncorrected): -61.0 meV per atom
* space group: R3m, No. 160

Unit cell a=8.576 b=8.576 c=8.576 alpha=18.56 beta=18.56 gamma=18.56
Fractional coordinates of all 4 atoms:
Re1 0.000 0.000 0.000
Re2 0.247 0.247 0.247
Si1 0.498 0.498 0.498
Tc1 0.752 0.752 0.752

---

Entry 7:
Entry from Alexandria via LeMat-Bulk: Ca4NiAs after structural relaxation (PBEsol).

* ΔE_f: 0.583 eV/atom
* space group: F-43m, No. 216

Unit cell a=6.122 b=6.122 c=6.122 alpha=60.00 beta=60.00 gamma=60.00
Fractional coordinates of all 6 atoms:
Ca1 0.125 0.125 0.125
Ca2 0.125 0.125 0.624
Ca3 0.125 0.624 0.125
Ca4 0.624 0.125 0.125
Ni1 0.750 0.750 0.750
As1 0.500 0.500 0.500

---

Entry 8:
Entry from Alexandria via LeMat-Bulk: LiInRe2 after structural relaxation (PBEsol).

* ΔE_f: 0.427 eV/atom
* space group: P4/mmm, No. 123

Unit cell a=3.682 b=3.682 c=4.513 alpha=90.00 beta=90.00 gamma=90.00
Fractional coordinates of all 4 atoms:
Li1 0.000 0.000 0.000
In1 0.500 0.500 0.000
Re1 0.000 0.500 0.500
Re2 0.500 0.000 0.500

---

Entry 9:
Entry from Alexandria via LeMat-Bulk: SrIn2Pt after structural relaxation (PBEsol).

* ΔE_f: -0.448 eV/atom
* space group: P4/mmm, No. 123

Unit cell a=3.440 b=3.440 c=7.830 alpha=90.00 beta=90.00 gamma=90.00
Fractional coordinates of all 4 atoms:
Sr1 0.000 0.000 0.000
In1 0.500 0.500 0.308
In2 0.500 0.500 0.692
Pt1 0.000 0.000 0.500

---

Entry 10:
Entry from Alexandria via LeMat-Bulk: LiSN2Cl after structural relaxation (PBEsol).

* E_form (uncorrected): 1714.6 meV per atom
* space group: P4/mmm, No. 123

Unit cell a=3.914 b=3.914 c=4.713 alpha=90.00 beta=90.00 gamma=90.00
Fractional coordinates of all 5 atoms:
Li1 0.000 0.000 0.000
S1 0.500 0.500 0.000
N1 0.000 0.500 0.500
N2 0.500 0.000 0.500
Cl1 0.500 0.500 0.500

---

Entry 11:
Entry from Alexandria via LeMat-Bulk: Mg3ZnO4 after structural relaxation (PBEsol).

* E_form (uncorrected): -2392.7 meV per atom
* space group: R-3m, No. 166

Unit cell a=9.911 b=9.911 c=9.911 alpha=17.38 beta=17.38 gamma=17.38
Fractional coordinates of all 8 atoms:
Mg1 0.000 0.000 0.000
Mg2 0.250 0.250 0.250
Mg3 0.750 0.750 0.750
Zn1 0.500 0.500 0.500
O1 0.124 0.124 0.124
O2 0.375 0.375 0.375
O3 0.625 0.625 0.625
O4 0.876 0.876 0.876

---

Entry 12:
Entry from Alexandria via LeMat-Bulk: Al2MoRu after structural relaxation (PBEsol).

* ΔE_f: -0.142 eV/atom
* space group: F-43m, No. 216

Unit cell a=4.317 b=4.317 c=4.317 alpha=60.00 beta=60.00 gamma=60.00
Fractional coordinates of all 4 atoms:
Al1 0.000 0.000 0.000
Al2 0.250 0.250 0.250
Mo1 0.500 0.500 0.500
Ru1 0.750 0.750 0.750

---

| no. | total magnetization (μB/atom) | Fermi-level density of states (states/eV per cell) | E (eV per atom) |
| --- | --- | --- | --- |
| 1 | 0.000 | 3.020 | -5.55 |
| 2 | 0.000 | 5.268 | -4.78 |
| 3 | 0.001 | 1.722 | -4.48 |
| 4 | 2.048 | 7.034 | -8.15 |
| 5 | 0.000 | 7.490 | -5.33 |
| 6 | 0.000 | 4.388 | -10.98 |
| 7 | 0.001 | 6.099 | -2.72 |
| 8 | 0.000 | 2.749 | -7.48 |
| 9 | 0.000 | 1.791 | -4.14 |
| 10 | 0.552 | 1.645 | -3.37 |
| 11 | 0.000 | 0.000 | -5.86 |
| 12 | 0.001 | 4.598 | -7.67 |